Entry from the Alexandria database: a relaxed KNa2CaAs crystal (GGA-PBE).

a = 5.895 Å, b = 5.895 Å, c = 5.704 Å
α = 90.00°, β = 90.00°, γ = 90.00°
Atoms (fractional coordinates):
K1 0.000 0.000 0.000
Na1 0.000 0.500 0.500
Na2 0.500 0.000 0.500
Ca1 0.500 0.500 0.000
As1 0.500 0.500 0.500

Computed properties:
space-group type = No. 123
magnetization = 0.00 μB per cell
theoretical density = 1.68 g/cm3
ΔH_f (0 K) = -304.5 meV per atom
DOS at the Fermi energy = 0.299 states/eV/atom